# BaCa2Zr PBE relaxed
# SG ... No. 225
# Distance to the lowest polymorph of the same formula ... 144.7 meV/atom
# Spin magnetization ... 0.2728 μB per atom
data_BaCa2Zr
_symmetry_space_group_name_H-M 'P 1'
_symmetry_Int_Tables_number 1
_cell_length_a 5.962
_cell_length_b 5.962
_cell_length_c 5.962
_cell_angle_alpha 60.00
_cell_angle_beta 60.00
_cell_angle_gamma 60.00
loop_
_symmetry_equiv_pos_as_xyz
'x,y,z'
loop_
_atom_site_label
_atom_site_type_symbol
_atom_site_fract_x
_atom_site_fract_y
_atom_site_fract_z
Ba1 Ba 0.000 0.000 0.000
Ca1 Ca 0.250 0.250 0.250
Ca2 Ca 0.750 0.750 0.750
Zr1 Zr 0.500 0.500 0.500

***

# TmNi7B5 PBE relaxed
# SG ... No. 44
# Total energy ... -6.171 eV per atom
# Spin magnetization ... 0.0000 μB per atom
data_TmNi7B5
_symmetry_space_group_name_H-M 'P 1'
_symmetry_Int_Tables_number 1
_cell_length_a 5.748
_cell_length_b 5.748
_cell_length_c 5.748
_cell_angle_alpha 134.95
_cell_angle_beta 97.62
_cell_angle_gamma 99.26
loop_
_symmetry_equiv_pos_as_xyz
'x,y,z'
loop_
_atom_site_label
_atom_site_type_symbol
_atom_site_fract_x
_atom_site_fract_y
_atom_site_fract_z
Tm1 Tm 0.000 0.000 0.000
Ni1 Ni 0.165 0.458 0.707
Ni2 Ni 0.224 0.724 0.500
Ni3 Ni 0.341 0.341 0.000
Ni4 Ni 0.370 0.025 0.345
Ni5 Ni 0.654 0.654 0.000
Ni6 Ni 0.680 0.025 0.655
Ni7 Ni 0.751 0.458 0.293
B1 B 0.492 0.533 0.546
B2 B 0.492 0.947 0.959
B3 B 0.761 0.261 0.500
B4 B 0.987 0.533 0.041
B5 B 0.987 0.947 0.454

***

# Al3Fe PBE relaxed
# SG ... No. 223
# Total energy ... -5.069 eV per atom
# Spin magnetization ... 0.0879 μB per atom
data_Al3Fe
_symmetry_space_group_name_H-M 'P 1'
_symmetry_Int_Tables_number 1
_cell_length_a 4.809
_cell_length_b 4.809
_cell_length_c 4.809
_cell_angle_alpha 90.00
_cell_angle_beta 90.00
_cell_angle_gamma 90.00
loop_
_symmetry_equiv_pos_as_xyz
'x,y,z'
loop_
_atom_site_label
_atom_site_type_symbol
_atom_site_fract_x
_atom_site_fract_y
_atom_site_fract_z
Al1 Al 0.000 0.250 0.500
Al2 Al 0.000 0.750 0.500
Al3 Al 0.250 0.500 0.000
Al4 Al 0.500 0.000 0.250
Al5 Al 0.500 0.000 0.750
Al6 Al 0.750 0.500 0.000
Fe1 Fe 0.000 0.000 0.000
Fe2 Fe 0.500 0.500 0.500

***

# Sr2Sb2Pd PBE relaxed
# SG ... No. 12
# ΔE_f (raw) ... -87.2 kJ per mole of atoms
# Distance to the lowest polymorph of the same formula ... 0.0 meV/atom
# Spin magnetization ... 0.0000 μB per atom
data_Sr2Sb2Pd
_symmetry_space_group_name_H-M 'P 1'
_symmetry_Int_Tables_number 1
_cell_length_a 6.386
_cell_length_b 6.386
_cell_length_c 12.054
_cell_angle_alpha 114.56
_cell_angle_beta 114.56
_cell_angle_gamma 43.51
loop_
_symmetry_equiv_pos_as_xyz
'x,y,z'
loop_
_atom_site_label
_atom_site_type_symbol
_atom_site_fract_x
_atom_site_fract_y
_atom_site_fract_z
Sr1 Sr 0.090 0.090 0.400
Sr2 Sr 0.300 0.300 0.860
Sr3 Sr 0.700 0.700 0.140
Sr4 Sr 0.910 0.910 0.600
Sb1 Sb 0.037 0.037 0.901
Sb2 Sb 0.368 0.368 0.378
Sb3 Sb 0.632 0.632 0.622
Sb4 Sb 0.963 0.963 0.099
Pd1 Pd 0.432 0.432 0.187
Pd2 Pd 0.568 0.568 0.813